This record from the Alexandria database describes a relaxed structure of Sn3MoO. The functional is PBE with a Hubbard U.

Lattice parameters (Å, degrees): 5.2661 5.2661 5.2661 90.00 90.00 90.00
Closest atoms and distances in Å follow each position.
Positions (direct):
Sn 0.0000 0.0000 0.5000  2 Mo 2.63
Sn 0.0000 0.5000 0.0000  2 Mo 2.63
Sn 0.5000 0.0000 0.0000  2 Mo 2.63
Mo 0.0000 0.0000 0.0000  6 Sn 2.63
O 0.5000 0.5000 0.5000  12 Sn 3.72

## Properties
SG   No. 221
Electronic total energy   -20.00 eV/cell